# ScZn2Cd

A relaxed ScZn2Cd crystal (PBE-GGA, the Alexandria database).

The space group is R-3m (No. 166, hexagonal axes) and the conventional cell measures 3.2532, 3.2532 and 26.2237 Å, with angles of 90.00, 90.00 and 120.00 degrees. The distinct sites, in fractional coordinates, are Sc at (0.0000, 0.0000, 0.0000), Zn at (0.0000, 0.0000, 0.2499) and Cd at (0.0000, 0.0000, 0.5000).

The energy is -29.6 eV per cell. As for the energy of formation from the pure elements: -0.0193 eV/atom.



# ScZnCd

A relaxed ScZnCd crystal (PBE-GGA, the Alexandria database).

The space group is Pmma (No. 51) and the conventional cell measures 4.599, 3.200 and 8.076 Å, with angles of 90.00, 90.00 and 90.00 degrees. The distinct sites, in fractional coordinates, are Sc at (0.250, 0.000, 0.228), Zn at (0.250, 0.500, 0.925) and Cd at (0.250, 0.500, 0.594).

The energy is -18.7 eV per cell. As for the energy of formation from the pure elements: -0.2757 eV/atom.